A relaxed Pr4InAgHg2 crystal. Source: Alexandria, functional PBE.

abc: 5.4482 5.4482 26.7565
angles: 90.00 90.00 120.00
Space group R-3m (No. 166, hexagonal axes)
Symmetry-distinct sites (fractional):
Pr  0.0000  0.0000  0.1219 [6 per cell]
Pr  0.0000  0.0000  0.3725 [6 per cell]
In  0.0000  0.0000  0.5000 [3 per cell]
Ag  0.0000  0.0000  0.0000 [3 per cell]
Hg  0.0000  0.0000  0.2475 [6 per cell]

## Properties
formation energy	-411	meV per atom
calculated total energy	-3.5746	eV/atom